# 1
This record from the Alexandria database describes a geometry-optimized Te2RuPt structure. The functional is GGA-PBE.

Lattice parameters (Å, degrees): 4.7831 4.7831 4.7831 60.00 60.00 60.00
Fractional positions:
Te (0.2500, 0.2500, 0.2500)
Te (0.7500, 0.7500, 0.7500)
Ru (0.0000, 0.0000, 0.0000)
Pt (0.5000, 0.5000, 0.5000)

Computed properties:
- relative energy among the computed polymorphs (eV/atom) = 0.339
- total moment (Bohr magnetons per cell) = 0.0

=====

# 2
This record from the Alexandria database describes a geometry-optimized TeRuPt2 structure. The functional is GGA-PBE.

Lattice parameters (Å, degrees): 5.1471 5.1471 5.1471 134.48 134.48 66.34
Fractional positions:
Te (0.0000, 0.0000, 0.0000)
Ru (0.5000, 0.5000, 0.0000)
Pt (0.2500, 0.7500, 0.5000)
Pt (0.7500, 0.2500, 0.5000)

Computed properties:
- total moment (Bohr magnetons per cell) = 1.8
- final energy (eV/atom) = -5.848

=====

# 3
This record from the Alexandria database describes a geometry-optimized Te2RuPt structure. The functional is GGA-PBE.

Lattice parameters (Å, degrees): 7.0367 7.0367 7.0367 33.22 33.22 33.22
Fractional positions:
Te (0.0000, 0.0000, 0.0000)
Te (0.1923, 0.1923, 0.1923)
Ru (0.7343, 0.7343, 0.7343)
Pt (0.4613, 0.4613, 0.4613)

Computed properties:
- relative energy among the computed polymorphs (eV/atom) = 0.041
- total moment (Bohr magnetons per cell) = 0.0

=====

# 4
This record from the Alexandria database describes a geometry-optimized TeRuPt2 structure. The functional is GGA-PBE.

Lattice parameters (Å, degrees): 5.1710 5.1710 4.5549 94.38 94.38 34.84
Fractional positions:
Te (0.0000, 0.0000, 0.0000)
Ru (0.5000, 0.5000, 0.5000)
Pt (0.2300, 0.2300, 0.7385)
Pt (0.7700, 0.7700, 0.2615)

Computed properties:
- total moment (Bohr magnetons per cell) = 0.8
- final energy (eV/atom) = -5.892

=====

# 5
This record from the Alexandria database describes a geometry-optimized TeRuPt2 structure. The functional is GGA-PBE.

Lattice parameters (Å, degrees): 5.5798 5.5798 5.5798 148.71 130.49 59.74
Fractional positions:
Te (0.0000, 0.0000, 0.0000)
Ru (0.5000, 0.5000, 0.0000)
Pt (0.2467, 0.7467, 0.5000)
Pt (0.7533, 0.2533, 0.5000)

Computed properties:
- total moment (Bohr magnetons per cell) = 0.4
- final energy (eV/atom) = -5.858

=====

# 6
This record from the Alexandria database describes a geometry-optimized TeRuPt2 structure. The functional is GGA-PBE.

Lattice parameters (Å, degrees): 2.9171 2.9171 8.2866 90.00 90.00 90.00
Fractional positions:
Te (0.0000, 0.0000, 0.0000)
Ru (0.0000, 0.0000, 0.5000)
Pt (0.5000, 0.5000, 0.2804)
Pt (0.5000, 0.5000, 0.7196)

Computed properties:
- total moment (Bohr magnetons per cell) = 1.1
- final energy (eV/atom) = -5.841

=====

# 7
This record from the Alexandria database describes a geometry-optimized TeRuPt2 structure. The functional is GGA-PBE.

Lattice parameters (Å, degrees): 4.6844 4.6844 4.8044 103.11 103.11 42.48
Fractional positions:
Te (0.0000, 0.0000, 0.0000)
Ru (0.7420, 0.7420, 0.2277)
Pt (0.2405, 0.2405, 0.7070)
Pt (0.4921, 0.4921, 0.4809)

Computed properties:
- total moment (Bohr magnetons per cell) = 0.0
- final energy (eV/atom) = -5.929

=====

# 8
This record from the Alexandria database describes a geometry-optimized Te2RuPt structure. The functional is GGA-PBE.

Lattice parameters (Å, degrees): 7.2884 7.2884 7.2884 131.60 131.60 70.85
Fractional positions:
Te (0.1136, 0.6250, 0.9886)
Te (0.3750, 0.3636, 0.4886)
Te (0.6364, 0.1250, 0.0114)
Te (0.8750, 0.8864, 0.5114)
Ru (0.0000, 0.0000, 0.0000)
Ru (0.7500, 0.2500, 0.5000)
Pt (0.2500, 0.7500, 0.5000)
Pt (0.5000, 0.5000, 0.0000)

Computed properties:
- relative energy among the computed polymorphs (eV/atom) = 0.112
- total moment (Bohr magnetons per cell) = 0.0

=====

Q: What is the total moment in the sixth record?
A: 1.1 Bohr magnetons per cell